A geometry-optimized MoAs2P structure, computed with PBE.

Calculated values
space group: Pmmm, No. 47
E_tot: -23.737 eV/cell

Cell lengths 3.189, 4.234, 4.847 Å; angles 90.00, 90.00, 90.00 degrees
Atoms (fractional coordinates):
1 As 0.000 0.000 0.000
2 As 0.500 0.500 0.000
3 Mo 0.500 0.000 0.500
4 P 0.000 0.500 0.500